# La3Tb2HoEr6

Crystalline La3Tb2HoEr6 at its relaxed geometry (PBE, Alexandria).

It has space group C2/m (No. 12), with a = 6.208 Å, b = 10.753 Å, c = 11.780 Å, α = 90.00°, β = 100.10° and γ = 90.00°. The distinct sites, in fractional coordinates, are La at (0.000, 0.000, 0.000), La at (0.000, 0.333, 0.000), Tb at (0.000, 0.167, 0.500), Ho at (0.000, 0.500, 0.500), Er at (0.248, 0.000, 0.745) and Er at (0.248, 0.333, 0.745).

The value obtained for the total moment is 0.005 μB per cell. The total energy is -4.643 eV/atom. The crystal system is monoclinic. As for the formation energy: 0.023 eV/atom.

***

# La4Tb2HoEr

Crystalline La4Tb2HoEr at its relaxed geometry (PBE, Alexandria).

It has space group Pmmm (No. 47), with a = 5.222 Å, b = 5.255 Å, c = 9.945 Å, α = 90.00°, β = 90.00° and γ = 90.00°. The distinct sites, in fractional coordinates, are La at (0.000, 0.000, 0.250), La at (0.500, 0.500, 0.250), Tb at (0.000, 0.500, 0.000), Tb at (0.500, 0.000, 0.500), Ho at (0.000, 0.500, 0.500) and Er at (0.500, 0.000, 0.000).

The value obtained for the total moment is 0.000 μB per cell. The total energy is -4.743 eV/atom. The crystal system is orthorhombic. As for the formation energy: 0.020 eV/atom.

***

# La4TbHoEr2

Crystalline La4TbHoEr2 at its relaxed geometry (PBE, Alexandria).

It has space group Pmmm (No. 47), with a = 5.225 Å, b = 5.252 Å, c = 9.890 Å, α = 90.00°, β = 90.00° and γ = 90.00°. The distinct sites, in fractional coordinates, are La at (0.000, 0.000, 0.249), La at (0.500, 0.500, 0.250), Tb at (0.500, 0.000, 0.500), Ho at (0.000, 0.500, 0.000), Er at (0.000, 0.500, 0.500) and Er at (0.500, 0.000, 0.000).

The value obtained for the total moment is 0.000 μB per cell. The total energy is -4.734 eV/atom. The crystal system is orthorhombic. As for the formation energy: 0.021 eV/atom.

***

# LaTbHo6Er2

Crystalline LaTbHo6Er2 at its relaxed geometry (PBE, Alexandria).

It has space group C2/c (No. 15), with a = 9.208 Å, b = 14.956 Å, c = 9.381 Å, α = 90.00°, β = 94.98° and γ = 90.00°. The distinct sites, in fractional coordinates, are La at (0.000, 0.036, 0.250), Tb at (0.000, 0.411, 0.750), Ho at (0.062, 0.182, 0.941), Ho at (0.095, 0.386, 0.113), Ho at (0.217, 0.228, 0.320) and Er at (0.247, 0.448, 0.448).

The value obtained for the total moment is 0.001 μB per cell. The total energy is -4.492 eV/atom. The crystal system is monoclinic. As for the formation energy: 0.123 eV/atom.

***

# La2Tb2Ho4Er

Crystalline La2Tb2Ho4Er at its relaxed geometry (PBE, Alexandria).

It has space group C2/m (No. 12), with a = 18.726 Å, b = 3.614 Å, c = 9.588 Å, α = 90.00°, β = 115.69° and γ = 90.00°. The distinct sites, in fractional coordinates, are La at (0.165, 0.000, 0.499), Tb at (0.147, 0.500, 0.162), Ho at (0.020, 0.000, 0.836), Ho at (0.185, 0.500, 0.838) and Er at (0.000, 0.500, 0.500).

The value obtained for the total moment is 0.007 μB per cell. The total energy is -4.664 eV/atom. The crystal system is monoclinic. As for the formation energy: 0.002 eV/atom.

***

# La2TbHo2Er

Crystalline La2TbHo2Er at its relaxed geometry (PBE, Alexandria).

It has space group Pmma (No. 51), with a = 7.075 Å, b = 5.691 Å, c = 9.853 Å, α = 90.00°, β = 90.00° and γ = 90.00°. The distinct sites, in fractional coordinates, are La at (0.000, 0.000, 0.000), La at (0.250, 0.500, 0.179), Tb at (0.250, 0.000, 0.658), Ho at (0.250, 0.000, 0.335), Ho at (0.250, 0.500, 0.833) and Er at (0.000, 0.500, 0.500).

The value obtained for the total moment is 0.000 μB per cell. The total energy is -4.632 eV/atom. The crystal system is orthorhombic. As for the formation energy: 0.069 eV/atom.

***

# La2TbHoEr5

Crystalline La2TbHoEr5 at its relaxed geometry (PBE, Alexandria).

It has space group Cmc2_1 (No. 36), with a = 5.630 Å, b = 19.700 Å, c = 10.727 Å, α = 90.00°, β = 90.00° and γ = 90.00°. The distinct sites, in fractional coordinates, are La at (0.000, 0.112, 0.000), La at (0.000, 0.115, 0.585), Tb at (0.000, 0.415, 0.728), Ho at (0.000, 0.201, 0.278), Er at (0.000, 0.017, 0.292), Er at (0.000, 0.282, 0.574), Er at (0.000, 0.299, 0.974), Er at (0.000, 0.389, 0.288) and Er at (0.000, 0.480, 0.005).

The value obtained for the total moment is 0.007 μB per cell. The total energy is -4.513 eV/atom. The crystal system is orthorhombic. As for the formation energy: 0.140 eV/atom.

***

# La4HoEr3Te8

Crystalline La4HoEr3Te8 at its relaxed geometry (PBE, Alexandria).

It has space group R-3m (No. 166, hexagonal axes), with a = 8.8020 Å, b = 8.8020 Å, c = 22.3130 Å, α = 90.00°, β = 90.00° and γ = 120.00°. The distinct sites, in fractional coordinates, are La at (0.0000, 0.0000, 0.0000), La at (0.0000, 0.5000, 0.0000), Ho at (0.0000, 0.0000, 0.5000), Er at (0.0000, 0.5000, 0.5000), Te at (0.0000, 0.0000, 0.2432) and Te at (0.0008, 0.5004, 0.7566).

The uncorrected formation energy comes out at -32.6 kcal/mol of atoms. The value obtained for the total moment is 0.003 μB per cell. The total energy is -5.359 eV/atom. The crystal system is trigonal.